CdHgPb2 | GGA-PBEsol | optimized geometry

```
data_CdHgPb2
_symmetry_space_group_name_H-M 'C 1 m 1'
_symmetry_Int_Tables_number 8
_symmetry_space_group_name_Hall 'C -2y'
_cell_length_a 11.263
_cell_length_b 3.401
_cell_length_c 5.634
_cell_angle_alpha 90.00
_cell_angle_beta 106.65
_cell_angle_gamma 90.00
loop_
_atom_site_label
_atom_site_type_symbol
_atom_site_fract_x
_atom_site_fract_y
_atom_site_fract_z
Cd1 Cd 0.000 0.000 0.000
Hg1 Hg 0.221 0.500 0.271
Pb1 Pb 0.248 0.000 0.792
Pb2 Pb 0.476 0.000 0.483
```

VASP energy ... -2.41 eV per atom
Spin magnetization ... 0.00 μB per atom
Formation enthalpy at 0 K ... 0.109 eV/f.u.
Mass density ... 11.7 g/cm³
Fermi-level density of states ... 1.7 states/eV/f.u.
ΔE to the lowest computed polymorph ... 0.0064 eV/atom

---

Cd2Hg2Pb | GGA-PBEsol | optimized geometry

```
data_Cd2Hg2Pb
_symmetry_space_group_name_H-M 'P 4/m b m'
_symmetry_Int_Tables_number 127
_symmetry_space_group_name_Hall '-P 4 2ab'
_cell_length_a 8.397
_cell_length_b 8.397
_cell_length_c 3.355
_cell_angle_alpha 90.00
_cell_angle_beta 90.00
_cell_angle_gamma 90.00
loop_
_atom_site_label
_atom_site_type_symbol
_atom_site_fract_x
_atom_site_fract_y
_atom_site_fract_z
Cd1 Cd 0.166 0.334 0.000
Hg1 Hg 0.131 0.631 0.500
Pb1 Pb 0.000 0.000 0.500
```

VASP energy ... -1.48 eV per atom
Spin magnetization ... 0.00 μB per atom
Formation enthalpy at 0 K ... 0.132 eV/f.u.
Mass density ... 11.7 g/cm³
Fermi-level density of states ... 2.0 states/eV/f.u.
ΔE to the lowest computed polymorph ... 0.0000 eV/atom

---

CdHgPb2 | GGA-PBEsol | optimized geometry

```
data_CdHgPb2
_symmetry_space_group_name_H-M 'C m m m'
_symmetry_Int_Tables_number 65
_symmetry_space_group_name_Hall '-C 2 2'
_cell_length_a 3.443
_cell_length_b 5.689
_cell_length_c 10.813
_cell_angle_alpha 90.00
_cell_angle_beta 90.00
_cell_angle_gamma 90.00
loop_
_atom_site_label
_atom_site_type_symbol
_atom_site_fract_x
_atom_site_fract_y
_atom_site_fract_z
Cd1 Cd 0.000 0.000 0.000
Hg1 Hg 0.000 0.000 0.500
Pb1 Pb 0.000 0.500 0.245
```

VASP energy ... -2.38 eV per atom
Spin magnetization ... 0.00 μB per atom
Formation enthalpy at 0 K ... 0.234 eV/f.u.
Mass density ... 11.4 g/cm³
Fermi-level density of states ... 1.7 states/eV/f.u.
ΔE to the lowest computed polymorph ... 0.0378 eV/atom

---

CdHgPb2 | GGA-PBEsol | optimized geometry

```
data_CdHgPb2
_symmetry_space_group_name_H-M 'R -3 m'
_symmetry_Int_Tables_number 166
_symmetry_space_group_name_Hall '-R 3 2"'
_cell_length_a 3.4195
_cell_length_b 3.4195
_cell_length_c 31.0510
_cell_angle_alpha 90.00
_cell_angle_beta 90.00
_cell_angle_gamma 120.00
loop_
_atom_site_label
_atom_site_type_symbol
_atom_site_fract_x
_atom_site_fract_y
_atom_site_fract_z
Cd1 Cd 0.0000 0.0000 0.0000
Hg1 Hg 0.0000 0.0000 0.5000
Pb1 Pb 0.0000 0.0000 0.2504
```

VASP energy ... -2.39 eV per atom
Spin magnetization ... 0.00 μB per atom
Formation enthalpy at 0 K ... 0.195 eV/f.u.
Mass density ... 11.5 g/cm³
Fermi-level density of states ... 1.4 states/eV/f.u.
ΔE to the lowest computed polymorph ... 0.0281 eV/atom

---

CdHgPb2 | GGA-PBEsol | optimized geometry

```
data_CdHgPb2
_symmetry_space_group_name_H-M 'P 4 m m'
_symmetry_Int_Tables_number 99
_symmetry_space_group_name_Hall 'P 4 -2'
_cell_length_a 3.681
_cell_length_b 3.681
_cell_length_c 7.628
_cell_angle_alpha 90.00
_cell_angle_beta 90.00
_cell_angle_gamma 90.00
loop_
_atom_site_label
_atom_site_type_symbol
_atom_site_fract_x
_atom_site_fract_y
_atom_site_fract_z
Cd1 Cd 0.000 0.000 0.000
Hg1 Hg 0.500 0.500 0.202
Pb1 Pb 0.000 0.000 0.450
Pb2 Pb 0.500 0.500 0.751
```

VASP energy ... -2.42 eV per atom
Spin magnetization ... 0.00 μB per atom
Formation enthalpy at 0 K ... 0.083 eV/f.u.
Mass density ... 11.7 g/cm³
Fermi-level density of states ... 1.6 states/eV/f.u.
ΔE to the lowest computed polymorph ... 0.0000 eV/atom

---

CdHgPb2 | GGA-PBEsol | optimized geometry

```
data_CdHgPb2
_symmetry_space_group_name_H-M 'F -4 3 m'
_symmetry_Int_Tables_number 216
_symmetry_space_group_name_Hall 'F -4 2 3'
_cell_length_a 7.484
_cell_length_b 7.484
_cell_length_c 7.484
_cell_angle_alpha 90.00
_cell_angle_beta 90.00
_cell_angle_gamma 90.00
loop_
_atom_site_label
_atom_site_type_symbol
_atom_site_fract_x
_atom_site_fract_y
_atom_site_fract_z
Cd1 Cd 0.000 0.000 0.000
Hg1 Hg 0.250 0.250 0.750
Pb1 Pb 0.000 0.000 0.500
Pb2 Pb 0.250 0.250 0.250
```

VASP energy ... -2.39 eV per atom
Spin magnetization ... 0.00 μB per atom
Formation enthalpy at 0 K ... 0.216 eV/f.u.
Mass density ... 11.5 g/cm³
Fermi-level density of states ... 1.5 states/eV/f.u.
ΔE to the lowest computed polymorph ... 0.0333 eV/atom

---

CdHgPb2 | GGA-PBEsol | optimized geometry

```
data_CdHgPb2
_symmetry_space_group_name_H-M 'I -4 m 2'
_symmetry_Int_Tables_number 119
_symmetry_space_group_name_Hall 'I -4 -2'
_cell_length_a 4.597
_cell_length_b 4.597
_cell_length_c 9.822
_cell_angle_alpha 90.00
_cell_angle_beta 90.00
_cell_angle_gamma 90.00
loop_
_atom_site_label
_atom_site_type_symbol
_atom_site_fract_x
_atom_site_fract_y
_atom_site_fract_z
Cd1 Cd 0.000 0.000 0.000
Hg1 Hg 0.000 0.500 0.250
Pb1 Pb 0.000 0.000 0.500
Pb2 Pb 0.000 0.500 0.750
```

VASP energy ... -2.40 eV per atom
Spin magnetization ... 0.00 μB per atom
Formation enthalpy at 0 K ... 0.147 eV/f.u.
Mass density ... 11.6 g/cm³
Fermi-level density of states ... 1.7 states/eV/f.u.
ΔE to the lowest computed polymorph ... 0.0159 eV/atom

---

CdHgPb2 | GGA-PBEsol | optimized geometry

```
data_CdHgPb2
_symmetry_space_group_name_H-M 'P m m m'
_symmetry_Int_Tables_number 47
_symmetry_space_group_name_Hall '-P 2 2'
_cell_length_a 3.653
_cell_length_b 5.226
_cell_length_c 5.506
_cell_angle_alpha 90.00
_cell_angle_beta 90.00
_cell_angle_gamma 90.00
loop_
_atom_site_label
_atom_site_type_symbol
_atom_site_fract_x
_atom_site_fract_y
_atom_site_fract_z
Cd1 Cd 0.000 0.000 0.000
Hg1 Hg 0.500 0.000 0.500
Pb1 Pb 0.000 0.500 0.500
Pb2 Pb 0.500 0.500 0.000
```

VASP energy ... -2.39 eV per atom
Spin magnetization ... 0.00 μB per atom
Formation enthalpy at 0 K ... 0.221 eV/f.u.
Mass density ... 11.5 g/cm³
Fermi-level density of states ... 1.4 states/eV/f.u.
ΔE to the lowest computed polymorph ... 0.0344 eV/atom

---

Question: Which value of ΔE to the lowest computed polymorph does entry 4 give?
Answer: 0.0281 eV/atom